A relaxed PdWBr crystal, computed with PBE.

## Properties
theoretical density	10.336	g/cm³
symmetry	Pm
E_form (uncorrected)	0.25	eV per atom
total magnetization	0.00	μB per formula unit

Lattice parameters (Å, degrees): 4.7445 3.1857 8.2055 90.00 106.46 90.00
Closest atoms and distances in Å follow each position.
Element x y z (fractional)
Pd: 0.3328 0.0000 0.7506  1 Br 2.61, 2 W 2.64
Pd: 0.7815 0.5000 0.6575  4 W 2.68-2.80, 4 Pd 2.93-2.97
W: 0.1810 0.5000 0.4836  1 Br 2.49, 3 Pd 2.64-2.68, 2 W 2.65
W: 0.7177 0.0000 0.3803  3 Br 2.62-2.77, 2 W 2.65, 2 Pd 2.72
Br: 0.7316 0.0000 0.0445  1 Pd 2.61, 1 W 2.77
Br: 0.3010 0.5000 0.2075  3 W 2.49-2.62


A relaxed PdW2Br crystal, computed with PBE.

## Properties
theoretical density	14.301	g/cm³
symmetry	Fm-3m
E_form (uncorrected)	1.00	eV per atom
total magnetization	0.00	μB per formula unit

Lattice parameters (Å, degrees): 4.4975 4.4975 4.4975 60.00 60.00 60.00
Closest atoms and distances in Å follow each position.
Element x y z (fractional)
W: 0.7500 0.7500 0.7500  4 Br 2.75, 4 Pd 2.75
W: 0.2500 0.2500 0.2500  4 Br 2.75, 4 Pd 2.75
Pd: 0.5000 0.5000 0.5000  8 W 2.75
Br: 0.0000 0.0000 0.0000  8 W 2.75


A relaxed Pd2WBr crystal, computed with PBE.

## Properties
theoretical density	8.586	g/cm³
symmetry	I-42d
E_form (uncorrected)	0.87	eV per atom
total magnetization	0.00	μB per formula unit

Lattice parameters (Å, degrees): 6.5430 6.5430 6.3205 58.83 58.83 90.00
Closest atoms and distances in Å follow each position.
Element x y z (fractional)
Pd: 0.8750 0.9002 0.7500  2 W 2.45, 2 Br 2.66
Pd: 0.3750 0.3498 0.7500  2 W 2.45, 2 Br 2.66
Pd: 0.0998 0.6250 0.2500  2 W 2.45, 2 Br 2.66
Pd: 0.6502 0.1250 0.2500  2 W 2.45, 2 Br 2.66
Br: 0.5000 0.5000 0.0000  4 Pd 2.66
Br: 0.2500 0.7500 0.5000  4 Pd 2.66
W: 0.0000 0.0000 0.0000  4 Pd 2.45
W: 0.7500 0.2500 0.5000  4 Pd 2.45


A relaxed PdWBr crystal, computed with PBE.

## Properties
theoretical density	10.274	g/cm³
symmetry	Pm
E_form (uncorrected)	0.25	eV per atom
total magnetization	0.00	μB per formula unit

Lattice parameters (Å, degrees): 5.7270 3.1996 6.7991 90.00 106.17 90.00
Closest atoms and distances in Å follow each position.
Element x y z (fractional)
Br: 0.6086 0.0000 0.9029  3 W 2.64-2.65, 1 Pd 2.87
Br: 0.0782 0.5000 0.8256  3 W 2.73-2.75, 1 Pd 2.77
Pd: 0.2022 0.5000 0.2495  3 W 2.62-2.79, 1 Br 2.77
Pd: 0.7846 0.0000 0.3422  3 W 2.64-2.74, 1 Br 2.87
W: 0.6045 0.5000 0.5928  2 W 2.58, 3 Br 2.64-2.73, 3 Pd 2.74-2.79
W: 0.2433 0.0000 0.5629  2 W 2.58, 3 Pd 2.62-2.64, 3 Br 2.65-2.75


A relaxed PdWBr crystal, computed with PBE.

## Properties
theoretical density	9.333	g/cm³
symmetry	Pm
E_form (uncorrected)	0.14	eV per atom
total magnetization	0.00	μB per formula unit

Lattice parameters (Å, degrees): 4.4782 3.1997 9.1952 90.00 91.23 90.00
Closest atoms and distances in Å follow each position.
Element x y z (fractional)
Pd: 0.3121 0.5000 0.7006  3 W 2.64-2.74, 4 Pd 2.75, 2 Br 2.75
Pd: 0.8120 0.0000 0.6998  3 W 2.65-2.70, 1 Br 2.68, 4 Pd 2.75
W: 0.6765 0.5000 0.4781  1 Br 2.59, 3 Pd 2.64-2.65, 4 W 2.73-2.78
W: 0.1690 0.0000 0.4670  3 Pd 2.70-2.74, 2 Br 2.71, 4 W 2.73-2.78
Br: 0.4674 0.0000 0.9340  3 Pd 2.68-2.75
Br: 0.9882 0.5000 0.2445  3 W 2.59-2.71


A relaxed PdWBr crystal, computed with PBE.

## Properties
theoretical density	9.363	g/cm³
symmetry	Cm
E_form (uncorrected)	0.14	eV per atom
total magnetization	0.00	μB per formula unit

Lattice parameters (Å, degrees): 4.4800 3.2023 18.7285 90.00 102.23 90.00
Closest atoms and distances in Å follow each position.
Element x y z (fractional)
Pd: 0.3209 0.0000 0.8511  3 W 2.66-2.76, 4 Pd 2.74-2.77, 2 Br 2.76
Pd: 0.8225 0.5000 0.8488  1 Br 2.67, 3 W 2.68-2.70, 4 Pd 2.74-2.77
Pd: 0.8225 0.0000 0.3488  1 Br 2.67, 3 W 2.68-2.70, 4 Pd 2.74-2.77
Pd: 0.3209 0.5000 0.3511  3 W 2.66-2.76, 4 Pd 2.74-2.77, 2 Br 2.76
W: 0.8317 0.0000 0.7334  3 Pd 2.70-2.76, 2 Br 2.70, 4 W 2.74-2.77
W: 0.3320 0.5000 0.7386  1 Br 2.59, 3 Pd 2.66-2.68, 4 W 2.74-2.77
W: 0.8317 0.5000 0.2334  3 Pd 2.70-2.76, 2 Br 2.70, 4 W 2.74-2.77
W: 0.3320 0.0000 0.2386  1 Br 2.59, 3 Pd 2.66-2.68, 4 W 2.74-2.77
Br: 0.9020 0.0000 0.1220  3 W 2.59-2.70
Br: 0.2694 0.5000 0.9682  3 Pd 2.67-2.76
Br: 0.9020 0.5000 0.6220  3 W 2.59-2.70
Br: 0.2694 0.0000 0.4682  3 Pd 2.67-2.76


A relaxed YPd3Br crystal, computed with PBE.

## Properties
theoretical density	7.221	g/cm³
symmetry	Pm-3m
E_form (uncorrected)	0.10	eV per atom
total magnetization	0.00	μB per formula unit

Lattice parameters (Å, degrees): 4.8237 4.8237 4.8237 90.00 90.00 90.00
Closest atoms and distances in Å follow each position.
Element x y z (fractional)
Y: 0.5000 0.5000 0.5000  12 Pd 3.41
Pd: 0.0000 0.5000 0.0000  2 Br 2.41
Pd: 0.0000 0.0000 0.5000  2 Br 2.41
Pd: 0.5000 0.0000 0.0000  2 Br 2.41
Br: 0.0000 0.0000 0.0000  6 Pd 2.41


A relaxed YPd2Br crystal, computed with PBE.

## Properties
theoretical density	7.382	g/cm³
symmetry	I-42d
E_form (uncorrected)	-0.46	eV per atom
total magnetization	0.00	μB per formula unit

Lattice parameters (Å, degrees): 7.8106 7.8106 6.1987 50.95 50.95 90.00
Closest atoms and distances in Å follow each position.
Element x y z (fractional)
Pd: 0.1375 0.6250 0.2500  2 Br 2.78, 2 Pd 2.82, 2 Y 2.92
Pd: 0.6125 0.1250 0.2500  2 Br 2.78, 2 Pd 2.82, 2 Y 2.92
Pd: 0.3750 0.3875 0.7500  2 Br 2.78, 2 Pd 2.82, 2 Y 2.92
Pd: 0.8750 0.8625 0.7500  2 Br 2.78, 2 Pd 2.82, 2 Y 2.92
Y: 0.7500 0.2500 0.5000  2 Br 2.81, 4 Pd 2.92
Y: 0.0000 0.0000 0.0000  2 Br 2.81, 4 Pd 2.92
Br: 0.2500 0.7500 0.5000  4 Pd 2.78, 2 Y 2.81
Br: 0.5000 0.5000 0.0000  4 Pd 2.78, 2 Y 2.81


no.,polymorph energy (0 for the lowest one) (eV per atom)
1,0.119
2,0.000
3,0.000
4,0.118
5,0.002
6,0.000
7,0.000
8,0.000